Entry from Alexandria: a geometry-optimized Ta6P7 structure (GGA-PBE).

a b c (Å): 10.1246 10.1246 10.1246
angles (deg): 28.32 28.32 28.32
Fractional positions:
Ta1 0.0486 0.0486 0.0486
Ta2 0.1836 0.1836 0.1836
Ta3 0.3281 0.3281 0.3281
Ta4 0.6719 0.6719 0.6719
Ta5 0.8164 0.8164 0.8164
Ta6 0.9514 0.9514 0.9514
P1 0.0868 0.5740 0.5740
P2 0.4260 0.4260 0.9132
P3 0.4260 0.9132 0.4260
P4 0.5000 0.5000 0.5000
P5 0.5740 0.0868 0.5740
P6 0.5740 0.5740 0.0868
P7 0.9132 0.4260 0.4260

Properties
**Mass density**: 10.48 g cm⁻³
**Total moment**: 0.000 μB per atom
**Total DFT energy (no corrections)**: -8.3838 eV per atom